! Dy3In4Hg2 (PBE-GGA, relaxed); values from VASP
&SYSTEM
  ibrav = 0, nat = 9, ntyp = 3
/
ATOMIC_SPECIES
Dy 162.50 Dy.upf
In 114.82 In.upf
Hg 200.59 Hg.upf
CELL_PARAMETERS angstrom
-4.410 0.450 -2.118
-4.534 -2.617 3.188
-3.960 6.627 3.958
ATOMIC_POSITIONS crystal
Dy 0.331 0.675 0.662
Dy 0.000 0.000 0.000
Dy 0.669 0.325 0.338
In 0.279 0.384 0.058
In 0.721 0.616 0.942
In 0.035 0.297 0.632
In 0.965 0.703 0.368
Hg 0.368 0.963 0.301
Hg 0.632 0.037 0.699
! - calculated formation energy (meV/atom) = -407
! - magnetic moment (Bohr magnetons per cell) = 0.00
! - E above lowest polymorph (eV/atom) = 0.000



! Dy5In2Hg (PBE-GGA, relaxed); values from VASP
&SYSTEM
  ibrav = 0, nat = 8, ntyp = 3
/
ATOMIC_SPECIES
Dy 162.50 Dy.upf
In 114.82 In.upf
Hg 200.59 Hg.upf
CELL_PARAMETERS angstrom
-0.422 4.134 5.557
0.955 -5.480 4.149
4.211 1.337 -5.007
ATOMIC_POSITIONS crystal
Dy 0.722 0.222 0.944
Dy 0.222 0.222 0.944
Dy 0.722 0.722 0.944
Dy 0.222 0.722 0.944
Dy 0.722 0.722 0.445
In 0.222 0.722 0.444
In 0.722 0.222 0.444
Hg 0.222 0.222 0.443
! - calculated formation energy (meV/atom) = -310
! - magnetic moment (Bohr magnetons per cell) = 0.00



! Dy3In2Hg3 (PBE-GGA, relaxed); values from VASP
&SYSTEM
  ibrav = 0, nat = 16, ntyp = 3
/
ATOMIC_SPECIES
Dy 162.50 Dy.upf
In 114.82 In.upf
Hg 200.59 Hg.upf
CELL_PARAMETERS angstrom
-1.269 -6.101 0.341
5.188 -0.672 7.290
-8.734 1.865 0.866
ATOMIC_POSITIONS crystal
Dy 0.750 0.312 0.000
Dy 0.750 0.688 0.688
Dy 0.750 0.000 0.312
Dy 0.250 0.688 0.000
Dy 0.250 0.312 0.312
Dy 0.250 0.000 0.688
In 0.000 0.333 0.667
In 0.500 0.667 0.333
In 0.000 0.667 0.333
In 0.500 0.333 0.667
Hg 0.750 0.657 0.000
Hg 0.750 0.343 0.343
Hg 0.750 0.000 0.657
Hg 0.250 0.343 0.000
Hg 0.250 0.657 0.657
Hg 0.250 0.000 0.343
! - calculated formation energy (meV/atom) = -348
! - magnetic moment (Bohr magnetons per cell) = 0.00
! - E above lowest polymorph (eV/atom) = 0.028



! DyIn2Hg6 (PBE-GGA, relaxed); values from VASP
&SYSTEM
  ibrav = 0, nat = 9, ntyp = 3
/
ATOMIC_SPECIES
Dy 162.50 Dy.upf
In 114.82 In.upf
Hg 200.59 Hg.upf
CELL_PARAMETERS angstrom
4.750 0.068 0.746
1.998 5.844 2.129
-0.124 0.627 8.420
ATOMIC_POSITIONS crystal
Dy 0.000 0.000 0.500
In 0.500 0.836 0.828
In 0.500 0.164 0.172
Hg 0.169 0.838 0.176
Hg 0.831 0.486 0.176
Hg 0.831 0.162 0.824
Hg 0.169 0.514 0.824
Hg 0.327 0.341 0.500
Hg 0.673 0.659 0.500
! - calculated formation energy (meV/atom) = -132
! - magnetic moment (Bohr magnetons per cell) = 0.00



! Dy3In4Hg4 (PBE-GGA, relaxed); values from VASP
&SYSTEM
  ibrav = 0, nat = 11, ntyp = 3
/
ATOMIC_SPECIES
Dy 162.50 Dy.upf
In 114.82 In.upf
Hg 200.59 Hg.upf
CELL_PARAMETERS angstrom
4.510 0.000 0.000
0.000 7.679 0.000
-2.255 -3.839 8.069
ATOMIC_POSITIONS crystal
Dy 0.117 0.117 0.234
Dy 0.883 0.883 0.766
Dy 0.000 0.500 0.000
In 0.336 0.140 0.673
In 0.664 0.467 0.327
In 0.664 0.860 0.327
In 0.336 0.533 0.673
Hg 0.227 0.727 0.454
Hg 0.773 0.273 0.546
Hg 0.500 0.809 0.000
Hg 0.500 0.191 0.000
! - calculated formation energy (meV/atom) = -257
! - magnetic moment (Bohr magnetons per cell) = 0.00



! DyIn6Hg12 (PBE-GGA, relaxed); values from VASP
&SYSTEM
  ibrav = 0, nat = 19, ntyp = 3
/
ATOMIC_SPECIES
Dy 162.50 Dy.upf
In 114.82 In.upf
Hg 200.59 Hg.upf
CELL_PARAMETERS angstrom
-5.982 1.103 6.206
2.260 -8.374 -0.520
6.988 4.885 1.680
ATOMIC_POSITIONS crystal
Dy 0.000 0.000 0.000
In 0.605 0.907 0.393
In 0.607 0.395 0.093
In 0.093 0.607 0.395
In 0.395 0.093 0.607
In 0.393 0.605 0.907
In 0.907 0.393 0.605
Hg 0.805 0.695 0.542
Hg 0.542 0.805 0.695
Hg 0.695 0.542 0.805
Hg 0.195 0.305 0.458
Hg 0.458 0.195 0.305
Hg 0.305 0.458 0.195
Hg 0.907 0.845 0.268
Hg 0.155 0.732 0.093
Hg 0.732 0.093 0.155
Hg 0.093 0.155 0.732
Hg 0.845 0.268 0.907
Hg 0.268 0.907 0.845
! - calculated formation energy (meV/atom) = -57
! - magnetic moment (Bohr magnetons per cell) = 0.00
! - E above lowest polymorph (eV/atom) = 0.000



! Dy12In3Hg (PBE-GGA, relaxed); values from VASP
&SYSTEM
  ibrav = 0, nat = 16, ntyp = 3
/
ATOMIC_SPECIES
Dy 162.50 Dy.upf
In 114.82 In.upf
Hg 200.59 Hg.upf
CELL_PARAMETERS angstrom
4.832 0.000 0.000
0.000 4.832 0.000
0.000 0.000 19.319
ATOMIC_POSITIONS crystal
Dy 0.500 0.500 0.000
Dy 0.500 0.500 0.249
Dy 0.500 0.500 0.500
Dy 0.500 0.500 0.751
Dy 0.500 0.000 0.124
Dy 0.500 0.000 0.375
Dy 0.500 0.000 0.625
Dy 0.500 0.000 0.876
Dy 0.000 0.500 0.124
Dy 0.000 0.500 0.375
Dy 0.000 0.500 0.625
Dy 0.000 0.500 0.876
In 0.000 0.000 0.249
In 0.000 0.000 0.500
In 0.000 0.000 0.751
Hg 0.000 0.000 0.000
! - calculated formation energy (meV/atom) = -238
! - magnetic moment (Bohr magnetons per cell) = 2.05



! Dy6In5Hg (PBE-GGA, relaxed); values from VASP
&SYSTEM
  ibrav = 0, nat = 12, ntyp = 3
/
ATOMIC_SPECIES
In 114.82 In.upf
Hg 200.59 Hg.upf
Dy 162.50 Dy.upf
CELL_PARAMETERS angstrom
-4.668 2.337 -1.081
0.052 -3.042 -6.797
-6.237 -5.220 2.289
ATOMIC_POSITIONS crystal
In 0.668 0.500 0.666
In 0.333 0.000 0.332
In 0.000 0.500 0.000
In 0.667 0.000 0.668
In 0.332 0.500 0.334
Hg 0.000 0.000 0.000
Dy 0.834 0.751 0.331
Dy 0.834 0.249 0.331
Dy 0.500 0.247 0.000
Dy 0.500 0.753 0.000
Dy 0.166 0.751 0.669
Dy 0.166 0.249 0.669
! - calculated formation energy (meV/atom) = -470
! - magnetic moment (Bohr magnetons per cell) = 0.00



! DyIn2Hg (PBE-GGA, relaxed); values from VASP
&SYSTEM
  ibrav = 0, nat = 4, ntyp = 3
/
ATOMIC_SPECIES
In 114.82 In.upf
Hg 200.59 Hg.upf
Dy 162.50 Dy.upf
CELL_PARAMETERS angstrom
-2.317 0.340 3.052
-3.068 -0.423 -2.282
0.242 -6.907 0.954
ATOMIC_POSITIONS crystal
In 0.000 0.000 0.769
In 0.000 0.000 0.231
Hg 0.500 0.500 0.000
Dy 0.500 0.500 0.500
! - calculated formation energy (meV/atom) = -194
! - magnetic moment (Bohr magnetons per cell) = 0.00
! - E above lowest polymorph (eV/atom) = 0.195



! Dy5InHg (PBE-GGA, relaxed); values from VASP
&SYSTEM
  ibrav = 0, nat = 14, ntyp = 3
/
ATOMIC_SPECIES
Dy 162.50 Dy.upf
In 114.82 In.upf
Hg 200.59 Hg.upf
CELL_PARAMETERS angstrom
5.911 -1.231 -1.260
0.707 5.996 -1.260
1.557 1.121 10.804
ATOMIC_POSITIONS crystal
Dy 0.029 0.596 0.157
Dy 0.242 0.470 0.477
Dy 0.596 0.029 0.657
Dy 0.876 0.124 0.250
Dy 0.530 0.758 0.023
Dy 0.470 0.242 0.977
Dy 0.124 0.876 0.750
Dy 0.404 0.971 0.343
Dy 0.758 0.530 0.523
Dy 0.971 0.404 0.843
In 0.522 0.478 0.250
In 0.478 0.522 0.750
Hg 0.000 0.000 0.000
Hg 0.000 0.000 0.500
! - calculated formation energy (meV/atom) = -117
! - magnetic moment (Bohr magnetons per cell) = 0.00



! Dy3InHg4 (PBE-GGA, relaxed); values from VASP
&SYSTEM
  ibrav = 0, nat = 8, ntyp = 3
/
ATOMIC_SPECIES
In 114.82 In.upf
Hg 200.59 Hg.upf
Dy 162.50 Dy.upf
CELL_PARAMETERS angstrom
4.939 0.000 1.458
2.254 4.395 1.458
-0.040 -0.024 9.231
ATOMIC_POSITIONS crystal
In 0.000 0.000 0.000
Hg 0.868 0.868 0.395
Hg 0.379 0.379 0.862
Hg 0.132 0.132 0.605
Hg 0.621 0.621 0.138
Dy 0.257 0.257 0.228
Dy 0.743 0.743 0.772
Dy 0.500 0.500 0.500
! - calculated formation energy (meV/atom) = -433
! - magnetic moment (Bohr magnetons per cell) = 0.00
! - E above lowest polymorph (eV/atom) = 0.000



! Dy8In5Hg (PBE-GGA, relaxed); values from VASP
&SYSTEM
  ibrav = 0, nat = 14, ntyp = 3
/
ATOMIC_SPECIES
Dy 162.50 Dy.upf
In 114.82 In.upf
Hg 200.59 Hg.upf
CELL_PARAMETERS angstrom
8.047 0.013 -0.022
-2.711 7.577 0.022
-2.626 -3.825 6.575
ATOMIC_POSITIONS crystal
Dy 0.126 0.749 0.023
Dy 0.977 0.104 0.726
Dy 0.774 0.248 0.373
Dy 0.627 0.401 0.875
Dy 0.474 0.599 0.226
Dy 0.622 0.896 0.874
Dy 0.274 0.251 0.378
Dy 0.125 0.752 0.526
In 0.000 0.375 0.125
In 0.875 0.875 0.250
In 0.750 0.625 0.625
In 0.500 0.000 0.500
In 0.375 0.125 0.000
Hg 0.250 0.500 0.750
! - calculated formation energy (meV/atom) = -310
! - magnetic moment (Bohr magnetons per cell) = 0.00



! DyIn2Hg (PBE-GGA, relaxed); values from VASP
&SYSTEM
  ibrav = 0, nat = 4, ntyp = 3
/
ATOMIC_SPECIES
In 114.82 In.upf
Hg 200.59 Hg.upf
Dy 162.50 Dy.upf
CELL_PARAMETERS angstrom
-2.483 -2.959 2.764
-0.348 -4.595 -1.151
3.440 -3.558 3.362
ATOMIC_POSITIONS crystal
In 0.766 0.766 0.702
In 0.234 0.234 0.298
Hg 0.500 0.500 0.500
Dy 0.000 0.000 0.000
! - calculated formation energy (meV/atom) = -176
! - magnetic moment (Bohr magnetons per cell) = 0.00
! - E above lowest polymorph (eV/atom) = 0.213



! DyIn3Hg6 (PBE-GGA, relaxed); values from VASP
&SYSTEM
  ibrav = 0, nat = 20, ntyp = 3
/
ATOMIC_SPECIES
Dy 162.50 Dy.upf
In 114.82 In.upf
Hg 200.59 Hg.upf
CELL_PARAMETERS angstrom
-1.166 -0.481 -8.423
0.654 -8.047 2.711
-7.333 2.930 3.190
ATOMIC_POSITIONS crystal
Dy 0.000 0.000 0.000
Dy 0.500 0.500 0.500
In 0.087 0.413 0.250
In 0.250 0.087 0.413
In 0.587 0.750 0.913
In 0.413 0.250 0.087
In 0.750 0.913 0.587
In 0.913 0.587 0.750
Hg 0.961 0.693 0.142
Hg 0.858 0.039 0.307
Hg 0.193 0.464 0.642
Hg 0.307 0.858 0.039
Hg 0.464 0.642 0.193
Hg 0.358 0.807 0.536
Hg 0.642 0.193 0.464
Hg 0.536 0.358 0.807
Hg 0.693 0.142 0.961
Hg 0.807 0.536 0.358
Hg 0.142 0.961 0.693
Hg 0.039 0.307 0.858
! - calculated formation energy (meV/atom) = -111
! - magnetic moment (Bohr magnetons per cell) = 0.00



! Dy3InHg4 (PBE-GGA, relaxed); values from VASP
&SYSTEM
  ibrav = 0, nat = 8, ntyp = 3
/
ATOMIC_SPECIES
Dy 162.50 Dy.upf
In 114.82 In.upf
Hg 200.59 Hg.upf
CELL_PARAMETERS angstrom
3.621 0.000 0.000
0.000 6.989 0.000
-1.811 -3.495 8.565
ATOMIC_POSITIONS crystal
Dy 0.219 0.219 0.438
Dy 0.781 0.781 0.562
Dy 0.000 0.500 0.000
In 0.500 0.000 0.000
Hg 0.373 0.591 0.746
Hg 0.627 0.409 0.254
Hg 0.627 0.845 0.254
Hg 0.373 0.155 0.746
! - calculated formation energy (meV/atom) = -308
! - magnetic moment (Bohr magnetons per cell) = 0.00
! - E above lowest polymorph (eV/atom) = 0.125



! DyInHg4 (PBE-GGA, relaxed); values from VASP
&SYSTEM
  ibrav = 0, nat = 6, ntyp = 3
/
ATOMIC_SPECIES
Dy 162.50 Dy.upf
In 114.82 In.upf
Hg 200.59 Hg.upf
CELL_PARAMETERS angstrom
-3.064 -2.488 0.243
1.061 -1.165 3.627
-5.813 6.447 4.563
ATOMIC_POSITIONS crystal
Dy 0.000 0.500 0.500
In 0.500 0.000 0.000
Hg 0.991 0.491 0.831
Hg 0.009 0.509 0.169
Hg 0.489 0.990 0.667
Hg 0.511 0.010 0.333
! - calculated formation energy (meV/atom) = -170
! - magnetic moment (Bohr magnetons per cell) = 0.00
! - E above lowest polymorph (eV/atom) = 0.000



! DyInHg6 (PBE-GGA, relaxed); values from VASP
&SYSTEM
  ibrav = 0, nat = 8, ntyp = 3
/
ATOMIC_SPECIES
Dy 162.50 Dy.upf
In 114.82 In.upf
Hg 200.59 Hg.upf
CELL_PARAMETERS angstrom
6.169 0.000 1.378
2.930 5.428 1.378
1.356 0.809 8.427
ATOMIC_POSITIONS crystal
Dy 0.000 0.000 0.000
In 0.500 0.500 0.500
Hg 0.072 0.072 0.303
Hg 0.072 0.553 0.303
Hg 0.447 0.928 0.697
Hg 0.928 0.447 0.697
Hg 0.928 0.928 0.697
Hg 0.553 0.072 0.303
! - calculated formation energy (meV/atom) = 81
! - magnetic moment (Bohr magnetons per cell) = 0.00
! - E above lowest polymorph (eV/atom) = 0.241



! DyIn5Hg8 (PBE-GGA, relaxed); values from VASP
&SYSTEM
  ibrav = 0, nat = 14, ntyp = 3
/
ATOMIC_SPECIES
Dy 162.50 Dy.upf
In 114.82 In.upf
Hg 200.59 Hg.upf
CELL_PARAMETERS angstrom
7.894 0.035 -1.109
-4.846 5.556 -3.032
1.149 0.302 8.220
ATOMIC_POSITIONS crystal
Dy 0.178 0.678 0.500
In 0.028 0.282 0.014
In 0.800 0.639 0.697
In 0.268 0.014 0.986
In 0.544 0.544 0.000
In 0.942 0.103 0.303
Hg 0.011 0.730 0.176
Hg 0.443 0.502 0.378
Hg 0.470 0.889 0.283
Hg 0.076 0.453 0.746
Hg 0.707 0.330 0.254
Hg 0.124 0.065 0.622
Hg 0.554 0.834 0.824
Hg 0.605 0.187 0.717
! - calculated formation energy (meV/atom) = -68
! - magnetic moment (Bohr magnetons per cell) = 0.00



! DyIn4Hg4 (PBE-GGA, relaxed); values from VASP
&SYSTEM
  ibrav = 0, nat = 9, ntyp = 3
/
ATOMIC_SPECIES
Dy 162.50 Dy.upf
In 114.82 In.upf
Hg 200.59 Hg.upf
CELL_PARAMETERS angstrom
-1.709 3.656 -2.898
-3.630 -0.890 -3.240
-7.825 5.198 6.911
ATOMIC_POSITIONS crystal
Dy 0.500 0.000 0.000
In 0.708 0.392 0.192
In 0.893 0.799 0.415
In 0.292 0.608 0.808
In 0.107 0.201 0.585
Hg 0.298 0.093 0.311
Hg 0.702 0.907 0.689
Hg 0.904 0.301 0.891
Hg 0.096 0.699 0.109
! - calculated formation energy (meV/atom) = -119
! - magnetic moment (Bohr magnetons per cell) = 0.00



! Dy2InHg9 (PBE-GGA, relaxed); values from VASP
&SYSTEM
  ibrav = 0, nat = 12, ntyp = 3
/
ATOMIC_SPECIES
Dy 162.50 Dy.upf
In 114.82 In.upf
Hg 200.59 Hg.upf
CELL_PARAMETERS angstrom
-1.502 2.299 -3.824
1.503 -3.539 -2.718
-11.914 -5.921 1.120
ATOMIC_POSITIONS crystal
Dy 0.000 0.000 0.328
Dy 0.000 0.000 0.672
In 0.000 0.000 0.000
Hg 0.500 0.500 0.000
Hg 0.500 0.500 0.338
Hg 0.500 0.500 0.662
Hg 0.500 0.000 0.168
Hg 0.500 0.000 0.500
Hg 0.500 0.000 0.832
Hg 0.000 0.500 0.168
Hg 0.000 0.500 0.500
Hg 0.000 0.500 0.832
! - calculated formation energy (meV/atom) = -207
! - magnetic moment (Bohr magnetons per cell) = 0.00



! Dy4InHg2 (PBE-GGA, relaxed); values from VASP
&SYSTEM
  ibrav = 0, nat = 7, ntyp = 3
/
ATOMIC_SPECIES
In 114.82 In.upf
Hg 200.59 Hg.upf
Dy 162.50 Dy.upf
CELL_PARAMETERS angstrom
-2.370 2.844 -3.664
-5.098 -0.610 -0.878
-4.176 6.662 4.171
ATOMIC_POSITIONS crystal
In 0.000 0.000 0.000
Hg 0.747 0.747 0.758
Hg 0.253 0.253 0.242
Dy 0.870 0.870 0.390
Dy 0.130 0.130 0.610
Dy 0.617 0.617 0.150
Dy 0.383 0.383 0.850
! - calculated formation energy (meV/atom) = -301
! - magnetic moment (Bohr magnetons per cell) = 0.16
! - E above lowest polymorph (eV/atom) = 0.000



! Dy3In2Hg3 (PBE-GGA, relaxed); values from VASP
&SYSTEM
  ibrav = 0, nat = 8, ntyp = 3
/
ATOMIC_SPECIES
Dy 162.50 Dy.upf
In 114.82 In.upf
Hg 200.59 Hg.upf
CELL_PARAMETERS angstrom
-0.770 0.422 3.630
-5.134 -0.516 -1.028
3.717 -10.274 0.060
ATOMIC_POSITIONS crystal
Dy 0.629 0.629 0.258
Dy 0.371 0.371 0.742
Dy 0.500 0.000 0.000
In 0.740 0.240 0.479
In 0.260 0.760 0.521
Hg 0.117 0.117 0.235
Hg 0.000 0.500 0.000
Hg 0.883 0.883 0.765
! - calculated formation energy (meV/atom) = -376
! - magnetic moment (Bohr magnetons per cell) = 0.00
! - E above lowest polymorph (eV/atom) = 0.000